[1]
AcHgPb6: optimized geometry, GGA-PBE.

Cell: 4.9362 7.1242 7.1242 Å, 89.80 90.00 90.00°
Sites, in units of the cell vectors:
Pb1 0.0000 0.7365 0.7365
Pb2 0.5000 0.5000 0.0000
Pb3 0.0000 0.7355 0.2645
Pb4 0.0000 0.2635 0.2635
Pb5 0.5000 0.0000 0.5000
Pb6 0.0000 0.2645 0.7355
Ac1 0.5000 0.0000 0.0000
Hg1 0.5000 0.5000 0.5000

Calculated values
The space-group type is Cmmm. The total energy is -3.476 eV per atom. As for the formation energy: -0.143 eV/atom. The calculation puts the theoretical density at 11.1 Mg/m³. Its total moment is 0.00 μB/atom.



[2]
PuBe2Pt3: optimized geometry, GGA-PBE.

Cell: 3.8475 9.1626 9.1626 Å, 120.00 90.00 90.00°
Sites, in units of the cell vectors:
Pt1 0.0000 0.7083 0.0000
Pt2 0.0000 0.2917 0.0000
Pt3 0.0000 0.7083 0.7083
Pt4 0.5000 0.5000 0.5000
Pt5 0.0000 0.2917 0.2917
Pt6 0.0000 0.0000 0.2917
Pt7 0.0000 0.0000 0.7083
Pt8 0.5000 0.5000 0.0000
Pt9 0.5000 0.0000 0.5000
Pu1 0.0000 0.6667 0.3333
Pu2 0.5000 0.0000 0.0000
Pu3 0.0000 0.3333 0.6667
Be1 0.5000 0.8188 0.1812
Be2 0.5000 0.8188 0.6375
Be3 0.5000 0.3625 0.1812
Be4 0.5000 0.1812 0.8188
Be5 0.5000 0.6375 0.8188
Be6 0.5000 0.1812 0.3625

Calculated values
The space-group type is P6/mmm. The total energy is -7.284 eV per atom. As for the formation energy: -0.633 eV/atom. The calculation puts the theoretical density at 15.1 Mg/m³. Its total moment is 0.89 μB/atom.